No. 1
This record from Alexandria via LeMat-Bulk describes a relaxed structure of EuLuBi. The functional is PBE.

## Properties
Symmetry: P3m1
Uncorrected energy in eV per cell: -19.7
Energy above the lowest structure with this stoichiometry in meV per atom: 63
E_form in meV/atom: -352

Unit cell a=4.3068 b=5.2043 c=5.2043 alpha=120.00 beta=90.00 gamma=90.00
Closest atoms and distances in Å follow each position.
Fractional coordinates of all 3 atoms:
Eu1 0.6577 0.6667 0.3333  6 Bi 3.60-3.79, 6 Lu 3.67-3.72
Lu1 0.1465 0.0000 0.0000  3 Bi 3.01
Bi1 0.1958 0.3333 0.6667  3 Lu 3.01


No. 2
This record from Alexandria via LeMat-Bulk describes a relaxed structure of Tb3Pr12Tl. The functional is PBE.

## Properties
Symmetry: P4/mmm
Uncorrected energy in eV per cell: -74.2
E_form in meV/atom: -34

Unit cell a=5.1335 b=5.1335 c=20.8620 alpha=90.00 beta=90.00 gamma=90.00
Closest atoms and distances in Å follow each position.
Fractional coordinates of all 16 atoms:
Tb1 0.0000 0.0000 0.2483  12 Pr 3.63-3.69
Tb2 0.0000 0.0000 0.5000  12 Pr 3.63-3.68
Tb3 0.0000 0.0000 0.7517  12 Pr 3.63-3.69
Pr1 0.5000 0.5000 0.0000  8 Pr 3.61, 4 Tl 3.63
Pr2 0.5000 0.5000 0.2472  4 Tb 3.63, 8 Pr 3.67-3.68
Pr3 0.5000 0.5000 0.5000  4 Tb 3.63, 8 Pr 3.68
Pr4 0.5000 0.5000 0.7528  4 Tb 3.63, 8 Pr 3.67-3.68
Pr5 0.5000 0.0000 0.1215  8 Pr 3.61-3.67, 2 Tl 3.61, 2 Tb 3.69
Pr6 0.5000 0.0000 0.3738  8 Pr 3.63-3.68, 4 Tb 3.67-3.68
Pr7 0.5000 0.0000 0.6262  8 Pr 3.63-3.68, 4 Tb 3.67-3.68
Pr8 0.5000 0.0000 0.8785  2 Tl 3.61, 8 Pr 3.61-3.67, 2 Tb 3.69
Pr9 0.0000 0.5000 0.1215  2 Tl 3.61, 8 Pr 3.61-3.67, 2 Tb 3.69
Pr10 0.0000 0.5000 0.3738  8 Pr 3.63-3.68, 4 Tb 3.67-3.68
Pr11 0.0000 0.5000 0.6262  8 Pr 3.63-3.68, 4 Tb 3.67-3.68
Pr12 0.0000 0.5000 0.8785  2 Tl 3.61, 8 Pr 3.61-3.67, 2 Tb 3.69
Tl1 0.0000 0.0000 0.0000  12 Pr 3.61-3.63


No. 3
This record from Alexandria via LeMat-Bulk describes a relaxed structure of NaIn3Bi. The functional is PBE.

## Properties
Symmetry: P2_1/c
Uncorrected energy in eV per cell: -55.1
Energy above the lowest structure with this stoichiometry in meV per atom: 0
E_form in meV/atom: -73

Unit cell a=6.7218 b=8.6657 c=10.1322 alpha=107.21 beta=90.00 gamma=90.00
Closest atoms and distances in Å follow each position.
Fractional coordinates of all 20 atoms:
Na1 0.0014 0.7160 0.3043  10 In 3.34-3.72, 3 Bi 3.35-3.69
Na2 0.9986 0.2840 0.6957  10 In 3.34-3.72, 3 Bi 3.35-3.69
Na3 0.5014 0.2840 0.1957  10 In 3.34-3.72, 3 Bi 3.35-3.69
Na4 0.4986 0.7160 0.8043  10 In 3.34-3.72, 3 Bi 3.35-3.69
In1 0.2570 0.1146 0.4048  4 Bi 3.15-3.41, 3 In 3.17-3.47, 2 Na 3.34-3.36
In2 0.7430 0.8854 0.5952  4 Bi 3.15-3.41, 3 In 3.17-3.47, 2 Na 3.34-3.36
In3 0.7570 0.8854 0.0952  4 Bi 3.15-3.41, 3 In 3.17-3.47, 2 Na 3.34-3.36
In4 0.2430 0.1146 0.9048  4 Bi 3.15-3.41, 3 In 3.17-3.47, 2 Na 3.34-3.36
In5 0.5038 0.6908 0.2980  3 Na 3.35-3.38, 6 In 3.39-3.47, 2 Bi 3.46-3.47
In6 0.4962 0.3092 0.7020  3 Na 3.35-3.38, 6 In 3.39-3.47, 2 Bi 3.46-3.47
In7 0.0038 0.3092 0.2020  3 Na 3.35-3.38, 6 In 3.39-3.47, 2 Bi 3.46-3.47
In8 0.9962 0.6908 0.7980  3 Na 3.35-3.38, 6 In 3.39-3.47, 2 Bi 3.46-3.47
In9 0.2470 0.4976 0.4993  7 In 3.17-3.46, 1 Bi 3.23, 4 Na 3.51-3.54
In10 0.7530 0.5024 0.5007  7 In 3.17-3.46, 1 Bi 3.23, 4 Na 3.51-3.54
In11 0.7470 0.5024 0.0007  7 In 3.17-3.46, 1 Bi 3.23, 4 Na 3.51-3.54
In12 0.2530 0.4976 0.9993  7 In 3.17-3.46, 1 Bi 3.23, 4 Na 3.51-3.54
Bi1 0.2499 0.8883 0.5972  7 In 3.15-3.47, 2 Na 3.35-3.36
Bi2 0.7501 0.1117 0.4028  7 In 3.15-3.47, 2 Na 3.35-3.36
Bi3 0.7499 0.1117 0.9028  7 In 3.15-3.47, 2 Na 3.35-3.36
Bi4 0.2501 0.8883 0.0972  7 In 3.15-3.47, 2 Na 3.35-3.36


No. 4
This record from Alexandria via LeMat-Bulk describes a relaxed structure of LaLuPtAu. The functional is PBE.

## Properties
Symmetry: F-43m
Uncorrected energy in eV per cell: -22.6
E_form in meV/atom: -971

Unit cell a=5.1058 b=5.1058 c=5.1058 alpha=60.00 beta=60.00 gamma=60.00
Closest atoms and distances in Å follow each position.
Fractional coordinates of all 4 atoms:
Lu1 0.0000 0.0000 0.0000  4 Pt 3.13, 4 Au 3.13
Au1 0.2500 0.2500 0.2500  4 La 3.13, 4 Lu 3.13
Pt1 0.7500 0.7500 0.7500  4 Lu 3.13, 4 La 3.13
La1 0.5000 0.5000 0.5000  4 Pt 3.13, 4 Au 3.13


No. 5
This record from Alexandria via LeMat-Bulk describes a relaxed structure of AlTe2NCl. The functional is PBE.

## Properties
Formation energy without anion corrections in meV per atom: 339
Symmetry: P4/mmm
Uncorrected energy in eV per cell: -18.5
Energy above the lowest structure with this stoichiometry in meV per atom: 0

Unit cell a=5.7850 b=5.7850 c=3.4386 alpha=90.00 beta=90.00 gamma=90.00
Closest atoms and distances in Å follow each position.
Fractional coordinates of all 5 atoms:
N1 0.0000 0.0000 0.5000  2 Al 1.72
Te1 0.0000 0.5000 0.0000  2 Al 2.89
Te2 0.5000 0.0000 0.0000  2 Al 2.89
Al1 0.0000 0.0000 0.0000  2 N 1.72
Cl1 0.5000 0.5000 0.5000  8 Te 3.36, 2 Cl 3.44


No. 6
This record from Alexandria via LeMat-Bulk describes a relaxed structure of NaPPt2. The functional is PBE.

## Properties
Symmetry: I-42d
Uncorrected energy in eV per cell: -39.8
E_form in meV/atom: -272

Unit cell a=7.3081 b=7.3081 c=5.8958 alpha=51.70 beta=51.70 gamma=90.00
Closest atoms and distances in Å follow each position.
Fractional coordinates of all 8 atoms:
P1 0.0000 0.0000 0.0000  4 Pt 2.26
P2 0.7500 0.2500 0.5000  4 Pt 2.26
Pt1 0.7216 0.1250 0.2500  2 P 2.26
Pt2 0.0284 0.6250 0.2500  2 P 2.26
Pt3 0.3750 0.2784 0.7500  2 P 2.26
Pt4 0.8750 0.9716 0.7500  2 P 2.26
Na1 0.5000 0.5000 0.0000  2 P 2.84, 4 Pt 3.02
Na2 0.2500 0.7500 0.5000  2 P 2.84, 4 Pt 3.02